Entry from Alexandria via LeMat-Bulk: Dy3Er2TmTe6 after structural relaxation (GGA-PBE).

Size of the total moment, μB/cell: 0.000
Formation energy (no corrections), meV/atom: -1238
Symmetry: C2/m (12)
Final energy, eV per atom: -5.092

Cell lengths 4.310, 8.709, 9.697 Å; angles 103.40, 102.84, 90.00 degrees
Fractional coordinates of all 12 atoms:
Tm: 0.500 0.000 0.000
Te: 0.333 0.419 0.666
Te: 0.335 0.916 0.670
Dy: 0.500 0.500 0.000
Dy: 0.832 0.167 0.665
Er: 0.833 0.666 0.665
Te: 0.667 0.581 0.334
Er: 0.167 0.334 0.335
Te: 0.999 0.753 0.999
Te: 0.001 0.247 0.001
Te: 0.665 0.084 0.330
Dy: 0.168 0.833 0.335